[1]
# Cs2Sc3I9

An optimized crystal structure of Cs2Sc3I9 (PBE, the Alexandria database).

Unit cell a=12.9970 b=19.9495 c=11.8091 alpha=90.00 beta=118.32 gamma=90.00
Closest atoms and distances in Å follow each position.
Space group C2/m (No. 12)
Unique sites:
Cs1 0.0899 0.1610 0.3080 (multiplicity 8)  6 I 3.84-4.14
Sc1 0.1316 0.5000 0.8470 (multiplicity 4)  5 I 2.82-2.90
Sc2 0.1527 0.3967 0.1586 (multiplicity 8)  5 I 2.89-2.91
I1 0.0000 0.2896 0.0000 (multiplicity 4)  2 Sc 2.91
I2 0.0315 0.3983 0.3102 (multiplicity 8)  2 Sc 2.89
I3 0.1891 0.0000 0.6762 (multiplicity 4)  2 Sc 2.91
I4 0.1895 0.2043 0.6695 (multiplicity 8)  1 Sc 2.91
I5 0.2189 0.1052 0.9872 (multiplicity 8)  2 Sc 2.90-2.91
I6 0.2485 0.0000 0.2988 (multiplicity 4)  1 Sc 2.82

Uncorrected energy   -207.430 eV per cell
N(E_F)   0.409 states/eV per atom

[2]
# TaOsF3

An optimized crystal structure of TaOsF3 (PBE, the Alexandria database).

Unit cell a=4.2335 b=4.2335 c=4.2335 alpha=90.00 beta=90.00 gamma=90.00
Closest atoms and distances in Å follow each position.
Space group Pm-3m (No. 221)
Unique sites:
Ta1 0.0000 0.0000 0.0000 (multiplicity 1)  6 F 2.12
Os1 0.5000 0.5000 0.5000 (multiplicity 1)  12 F 2.99
F1 0.0000 0.0000 0.5000 (multiplicity 3)  2 Ta 2.12

Uncorrected energy   -30.365 eV per cell
N(E_F)   0.761 states/eV per atom

[3]
# AcGaAg2O4

An optimized crystal structure of AcGaAg2O4 (PBE, the Alexandria database).

Unit cell a=7.6948 b=10.0437 c=6.5664 alpha=90.00 beta=90.00 gamma=90.00
Closest atoms and distances in Å follow each position.
Space group Fmm2 (No. 42)
Unique sites:
Ac1 0.0000 0.0000 0.0000 (multiplicity 4)  6 O 2.55-2.65
Ga1 0.0000 0.0000 0.4928 (multiplicity 4)  4 O 1.85-1.92
Ag1 0.2500 0.2500 0.2889 (multiplicity 8)  2 O 2.17
O1 0.0000 0.1502 0.3122 (multiplicity 8)  1 Ga 1.92
O2 0.1908 0.0000 0.6633 (multiplicity 8)  1 Ga 1.85

Uncorrected energy   -180.941 eV per cell
N(E_F)   0.010 states/eV per atom

[4]
# CeLuInAg

An optimized crystal structure of CeLuInAg (PBE, the Alexandria database).

Unit cell a=7.4708 b=7.4708 c=7.4708 alpha=90.00 beta=90.00 gamma=90.00
Closest atoms and distances in Å follow each position.
Space group F-43m (No. 216)
Unique sites:
Ce1 0.0000 0.0000 0.0000 (multiplicity 4)  4 In 3.23, 4 Ag 3.23
Lu1 0.0000 0.0000 0.5000 (multiplicity 4)  4 In 3.23, 4 Ag 3.23
In1 0.2500 0.2500 0.2500 (multiplicity 4)  4 Ce 3.23, 4 Lu 3.23
Ag1 0.2500 0.2500 0.7500 (multiplicity 4)  4 Ce 3.23, 4 Lu 3.23

ΔE_f   -0.265 eV/atom
Uncorrected energy   -68.416 eV per cell
N(E_F)   2.463 states/eV per atom